# NaYTm | Alexandria | PBE | optimized geometry
# Formation energy from the elements (eV per formula unit): 0.29
# Crystal system: monoclinic
# Theoretical density (g/cm³): 4.698
# DFT total energy (eV per atom): -3.99
data_NaYTm
_space_group_name_H-M_alt 'C 1 2/m 1'
_space_group_IT_number 12
_cell_length_a 4.960
_cell_length_b 4.957
_cell_length_c 16.150
_cell_angle_alpha 90.00
_cell_angle_beta 90.03
_cell_angle_gamma 90.00
loop_
_space_group_symop_operation_xyz
'x,y,z'
'-x,-y,-z'
'-x,y,-z'
'x,-y,z'
'x+1/2,y+1/2,z'
'-x+1/2,-y+1/2,-z'
'-x+1/2,y+1/2,-z'
'x+1/2,-y+1/2,z'
loop_
_atom_site_label
_atom_site_type_symbol
_atom_site_fract_x
_atom_site_fract_y
_atom_site_fract_z
Na1 Na 0.248 0.000 0.094
Y1 Y 0.250 0.000 0.419
Tm1 Tm 0.249 0.500 0.268

# CoBrCl | Alexandria | PBE | optimized geometry
# Crystal system: orthorhombic
# Theoretical density (g/cm³): 2.859
# Energy relative to the elements, uncorrected (eV per atom): -0.2370
# DFT total energy (eV per atom): -3.78
data_CoBrCl
_space_group_name_H-M_alt 'F m m 2'
_space_group_IT_number 42
_space_group_name_Hall 'F 2 -2'
_cell_length_a 3.401
_cell_length_b 8.434
_cell_length_c 14.118
_cell_angle_alpha 90.00
_cell_angle_beta 90.00
_cell_angle_gamma 90.00
loop_
_atom_site_label
_atom_site_type_symbol
_atom_site_fract_x
_atom_site_fract_y
_atom_site_fract_z
Co1 Co 0.000 0.000 0.000
Br1 Br 0.000 0.000 0.620
Cl1 Cl 0.000 0.000 0.393

# Ba2EuBi | Alexandria | PBE | optimized geometry
# Formation energy from the elements (eV per formula unit): -1.72
# Crystal system: tetragonal
# Theoretical density (g/cm³): 6.250
# DFT total energy (eV per atom): -4.93
data_Ba2EuBi
_space_group_name_H-M_alt 'P 4/m m m'
_space_group_IT_number 123
_space_group_name_Hall '-P 4 2'
_cell_length_a 5.601
_cell_length_b 5.601
_cell_length_c 5.383
_cell_angle_alpha 90.00
_cell_angle_beta 90.00
_cell_angle_gamma 90.00
loop_
_atom_site_label
_atom_site_type_symbol
_atom_site_fract_x
_atom_site_fract_y
_atom_site_fract_z
Ba1 Ba 0.000 0.500 0.000
Eu1 Eu 0.000 0.000 0.500
Bi1 Bi 0.500 0.500 0.500